# 1
{"formula": "Ba7AgAu4", "functional": "PBE", "state": "optimized geometry", "energy_ev_per_atom": -2.975, "formation_energy_mev_per_atom": -523, "m_tot_mub_per_fu": 0.00, "lattice_angstrom": [[4.6302, 0.0000, 0.0000], [-2.3151, 7.6538, -1.9907], [0.0000, 0.0701, 14.2946]], "species": ["Ba", "Ba", "Ba", "Ba", "Ba", "Ba", "Ba", "Ag", "Au", "Au", "Au", "Au"], "fractional_positions": [[0.7398, 0.4795, 0.3544], [0.2530, 0.5059, 0.6442], [0.3469, 0.6937, 0.9521], [0.6547, 0.3093, 0.0489], [0.0419, 0.0838, 0.7864], [0.9603, 0.9207, 0.2155], [0.5015, 0.0029, 0.4951], [0.8820, 0.7641, 0.5777], [0.7025, 0.4050, 0.8170], [0.2989, 0.5978, 0.1858], [0.0006, 0.0012, 0.0006], [0.1180, 0.2360, 0.4224]]}

# 2
{"formula": "SbPPb", "functional": "PBE", "state": "optimized geometry", "energy_ev_per_atom": -4.305, "raw_formation_energy_ev_per_atom": 0.11, "m_tot_mub_per_fu": 0.00, "lattice_angstrom": [[-0.6049, 1.5212, 4.6158], [-3.3781, -3.0261, 1.9874], [4.1256, -4.7997, 4.5105]], "species": ["Sb", "Sb", "P", "P", "Pb", "Pb"], "fractional_positions": [[0.1595, 0.9160, 0.6823], [0.3928, 0.1900, 0.9574], [0.9700, 0.6431, 0.0136], [0.0970, 0.8401, 0.1955], [0.5785, 0.3072, 0.2791], [0.8196, 0.5675, 0.5676]]}

# 3
{"formula": "Tb2Dy2Ho2Tm", "functional": "PBE", "state": "optimized geometry", "energy_ev_per_atom": -4.442, "formation_energy_mev_per_atom": 143, "m_tot_mub_per_fu": 0.00, "lattice_angstrom": [[5.6142, 0.0000, 0.0000], [2.8071, 4.8620, 0.0000], [2.8071, 1.6207, 8.0835]], "species": ["Tb", "Tb", "Dy", "Dy", "Ho", "Ho", "Tm"], "fractional_positions": [[0.1411, 0.1411, 0.5766], [0.8589, 0.8589, 0.4234], [0.7137, 0.7137, 0.8590], [0.2863, 0.2863, 0.1410], [0.5713, 0.5713, 0.2862], [0.4287, 0.4287, 0.7138], [0.0000, 0.0000, 0.0000]]}

# 4
{"formula": "TaZnRe2", "functional": "PBE", "state": "optimized geometry", "energy_ev_per_atom": -9.437, "formation_energy_mev_per_atom": 69, "m_tot_mub_per_fu": 0.00, "lattice_angstrom": [[5.2284, -0.0094, -0.0017], [4.2668, 3.0218, -0.0017], [1.8549, 0.5885, 3.9408]], "species": ["Re", "Re", "Ta", "Zn"], "fractional_positions": [[0.9910, 0.9910, 0.0093], [0.2557, 0.2557, 0.2442], [0.5099, 0.5099, 0.4901], [0.7434, 0.7434, 0.7564]]}

# 5
{"formula": "NdSc3Hg2", "functional": "PBE", "state": "optimized geometry", "energy_ev_per_atom": -4.373, "formation_energy_mev_per_atom": -312, "m_tot_mub_per_fu": 0.00, "lattice_angstrom": [[4.8958, 0.0000, 0.0000], [0.0000, 6.8547, 0.0000], [0.0000, 0.0000, 8.8840]], "species": ["Nd", "Nd", "Sc", "Sc", "Sc", "Sc", "Sc", "Sc", "Hg", "Hg", "Hg", "Hg"], "fractional_positions": [[0.5000, 0.5156, 0.5522], [0.5000, 0.0156, 0.4478], [0.0000, 0.4841, 0.9480], [0.0000, 0.9841, 0.0520], [0.5000, 0.6723, 0.1667], [0.5000, 0.1723, 0.8333], [0.0000, 0.3277, 0.3100], [0.0000, 0.8277, 0.6900], [0.5000, 0.7501, 0.8573], [0.5000, 0.2501, 0.1427], [0.0000, 0.2502, 0.6575], [0.0000, 0.7502, 0.3425]]}

# 6
{"formula": "CaNiCl4", "functional": "PBE", "state": "optimized geometry", "energy_ev_per_atom": -2.431, "raw_formation_energy_ev_per_atom": 0.10, "m_tot_mub_per_fu": 2.36, "lattice_angstrom": [[-5.5479, -2.0164, 0.1229], [-4.3016, 3.3309, 2.2939], [-4.0871, 2.3859, -3.5303]], "species": ["Ca", "Ni", "Cl", "Cl", "Cl", "Cl"], "fractional_positions": [[0.0000, 0.0000, 0.0000], [0.7500, 0.7500, 0.7500], [0.8742, 0.3753, 0.3753], [0.3753, 0.3753, 0.8742], [0.3753, 0.8742, 0.3753], [0.3753, 0.3753, 0.3753]]}

# 7
{"formula": "TlFeGe2", "functional": "PBE", "state": "optimized geometry", "energy_ev_per_atom": -4.609, "formation_energy_mev_per_atom": 407, "m_tot_mub_per_fu": 0.00, "lattice_angstrom": [[-1.0421, -0.5961, -5.2877], [-2.7262, -4.5674, 1.0521], [-7.8021, 1.1230, -1.3691]], "species": ["Tl", "Tl", "Ge", "Ge", "Ge", "Ge", "Fe", "Fe"], "fractional_positions": [[0.0000, 0.0000, 0.0000], [0.7500, 0.2500, 0.5000], [0.3869, 0.1250, 0.2500], [0.3631, 0.6250, 0.2500], [0.3750, 0.6131, 0.7500], [0.8750, 0.6369, 0.7500], [0.5000, 0.5000, 0.0000], [0.2500, 0.7500, 0.5000]]}

# 8
{"formula": "CeHo2Sn", "functional": "PBE", "state": "optimized geometry", "energy_ev_per_atom": -5.038, "formation_energy_mev_per_atom": -265, "m_tot_mub_per_fu": 1.28, "lattice_angstrom": [[-3.7586, 0.4111, -1.2618], [0.5614, -2.9415, -2.6308], [-2.1362, -4.7229, 4.8247]], "species": ["Ho", "Ho", "Ce", "Sn"], "fractional_positions": [[0.0000, 0.0000, 0.7248], [0.0000, 0.0000, 0.2752], [0.5000, 0.5000, 0.0000], [0.5000, 0.5000, 0.5000]]}

# 9
{"formula": "Y2SiW", "functional": "PBE", "state": "optimized geometry", "energy_ev_per_atom": -7.654, "raw_formation_energy_ev_per_atom": 0.17, "m_tot_mub_per_fu": 0.00, "lattice_angstrom": [[5.3207, -0.0136, 0.0049], [-3.9674, 6.0328, 0.0177], [0.0015, 1.6097, 2.6757]], "species": ["Si", "W", "Y", "Y"], "fractional_positions": [[0.5000, 0.5000, 0.0000], [0.5000, 0.0000, 0.5000], [0.0000, 0.0000, 0.0000], [0.0000, 0.5000, 0.5000]]}

# 10
{"formula": "MgScO2", "functional": "PBE", "state": "optimized geometry", "energy_ev_per_atom": -6.996, "raw_formation_energy_ev_per_atom": -2.54, "m_tot_mub_per_fu": 0.87, "lattice_angstrom": [[-2.8481, 0.0638, 3.8699], [1.8068, -4.2272, 1.3994], [2.8799, 0.1879, 5.0999]], "species": ["Sc", "Sc", "Mg", "Mg", "O", "O", "O", "O"], "fractional_positions": [[0.0000, 0.0000, 0.0000], [0.7500, 0.2500, 0.5000], [0.5000, 0.5000, 0.0000], [0.2500, 0.7500, 0.5000], [0.6177, 0.1250, 0.2500], [0.1323, 0.6250, 0.2500], [0.3750, 0.3823, 0.7500], [0.8750, 0.8677, 0.7500]]}

# 11
{"formula": "Pr6S8Cl", "functional": "PBE", "state": "optimized geometry", "energy_ev_per_atom": -6.216, "raw_formation_energy_ev_per_atom": -1.98, "m_tot_mub_per_fu": 0.00, "lattice_angstrom": [[8.5499, 0.0000, 0.0000], [4.2750, 7.4044, 0.0000], [4.2750, 2.4681, 5.9832]], "species": ["Pr", "Pr", "Pr", "Pr", "Pr", "Pr", "S", "S", "S", "S", "S", "S", "S", "S", "Cl"], "fractional_positions": [[0.4264, 0.0724, 0.7704], [0.9276, 0.2693, 0.2296], [0.2693, 0.5736, 0.2296], [0.7307, 0.4264, 0.7704], [0.0724, 0.7307, 0.7704], [0.5736, 0.9276, 0.2296], [0.5816, 0.2249, 0.2964], [0.7751, 0.1029, 0.7036], [0.1029, 0.4184, 0.7036], [0.6682, 0.6682, 0.9954], [0.3318, 0.3318, 0.0046], [0.8971, 0.5816, 0.2964], [0.2249, 0.8971, 0.2964], [0.4184, 0.7751, 0.7036], [0.0000, 0.0000, 0.0000]]}

# 12
{"formula": "PaCuHO4", "functional": "PBE", "state": "optimized geometry", "energy_ev_per_atom": -7.158, "m_tot_mub_per_fu": 1.00, "lattice_angstrom": [[5.4249, 0.0000, 0.0000], [2.7125, 5.7276, -0.5346], [2.7125, 1.2356, 5.6182]], "species": ["Pa", "Pa", "Cu", "Cu", "H", "H", "O", "O", "O", "O", "O", "O", "O", "O"], "fractional_positions": [[0.0000, 0.0000, 0.0000], [0.0000, 0.5000, 0.5000], [0.5000, 0.0000, 0.5000], [0.0000, 0.0000, 0.5000], [0.4972, 0.7528, 0.2528], [0.5028, 0.2472, 0.7472], [0.7726, 0.7540, 0.7008], [0.2274, 0.7992, 0.7460], [0.7726, 0.2008, 0.2540], [0.2274, 0.2460, 0.2992], [0.2540, 0.7671, 0.2671], [0.7118, 0.7671, 0.2671], [0.2882, 0.2329, 0.7329], [0.7460, 0.2329, 0.7329]]}

| no. | mass density (kg/m3) |
| --- | --- |
| 1 | 6079 |
| 2 | 7007 |
| 3 | 8592 |
| 4 | 16458 |
| 5 | 7578 |
| 6 | 2745 |
| 7 | 6523 |
| 8 | 8688 |
| 9 | 7564 |
| 10 | 3050 |
| 11 | 4986 |
| 12 | 6703 |